## La2PrSm (GGA-PBE)

Data for crystalline La2PrSm at its relaxed geometry.

```
La2PrSm
1.0
0.0000 4.1767 4.1767
4.1767 0.0000 4.1767
4.1767 4.1767 0.0000
La Pr Sm
2 1 1
Direct
0.2500 0.2500 0.2500
0.7500 0.7500 0.7500
0.0000 0.0000 0.0000
0.5000 0.5000 0.5000
```

Output
The excess energy over the best structure of this formula in the dataset comes out at 108 meV/atom. As for the space group: Fm-3m (225). For the volume, the calculation gives 36.43 Å³ per atom. For the energy of formation from the pure elements, the calculation gives 118 meV per atom. The density of states at the Fermi level comes out at 2.6643 states/eV per atom. As for the total energy: -4.72 eV per atom.


## La7Pr2Sm2 (GGA-PBE)

Data for crystalline La7Pr2Sm2 at its relaxed geometry.

```
La7Pr2Sm2
1.0
5.8502 -5.8457 0.0000
5.8502 5.8457 0.0000
-2.2914 0.0000 5.8460
La Pr Sm
7 2 2
Direct
0.0000 0.0000 0.0000
0.0460 0.5859 0.8215
0.4141 0.9540 0.1785
0.4242 0.4242 0.1965
0.5758 0.5758 0.8035
0.5859 0.0460 0.8215
0.9540 0.4141 0.1785
0.2280 0.2280 0.5945
0.7720 0.7720 0.4055
0.2153 0.7847 0.5000
0.7847 0.2153 0.5000
```

Output
The excess energy over the best structure of this formula in the dataset comes out at 21 meV/atom. As for the space group: C2/m (12). For the volume, the calculation gives 36.35 Å³ per atom. For the energy of formation from the pure elements, the calculation gives 108 meV per atom. The density of states at the Fermi level comes out at 1.5255 states/eV per atom. As for the total energy: -4.75 eV per atom.


## La7Pr3Sm (GGA-PBE)

Data for crystalline La7Pr3Sm at its relaxed geometry.

```
La7Pr3Sm
1.0
6.3804 -3.6868 0.0000
6.3804 3.6868 0.0000
-0.0194 0.0000 8.8591
La Pr Sm
7 3 1
Direct
0.0000 0.0000 0.0000
0.0027 0.4991 0.0160
0.1673 0.1673 0.6721
0.1679 0.6642 0.6710
0.4991 0.0027 0.0160
0.4996 0.4996 0.0150
0.6642 0.1679 0.6710
0.3333 0.8337 0.3434
0.8337 0.3333 0.3434
0.8336 0.8336 0.3435
0.6669 0.6669 0.6848
```

Output
As for the space group: Cm (8). For the volume, the calculation gives 37.89 Å³ per atom. For the energy of formation from the pure elements, the calculation gives 152 meV per atom. The density of states at the Fermi level comes out at 1.6047 states/eV per atom. As for the total energy: -4.72 eV per atom.


## La4Pr4Sm (GGA-PBE)

Data for crystalline La4Pr4Sm at its relaxed geometry.

```
La4Pr4Sm
1.0
-5.5600 5.5600 2.6401
5.5600 -5.5600 2.6401
5.5600 5.5600 -2.6401
La Pr Sm
4 4 1
Direct
0.1663 0.1663 0.3325
0.1663 0.8337 0.0000
0.8337 0.1663 0.0000
0.8337 0.8337 0.6675
0.1670 0.5000 0.6670
0.5000 0.1670 0.6670
0.5000 0.8330 0.3330
0.8330 0.5000 0.3330
0.5000 0.5000 0.0000
```

Output
As for the space group: I4/mmm (139). For the volume, the calculation gives 36.27 Å³ per atom. For the energy of formation from the pure elements, the calculation gives 14 meV per atom. The density of states at the Fermi level comes out at 1.8794 states/eV per atom. As for the total energy: -4.82 eV per atom.